## a
First-principles (GGA-PBE) data for an optimized crystal structure of TeIrCl2, as listed in Alexandria via LeMat-Bulk.

Structure (CIF):
```
data_TeIrCl2
_chemical_formula_sum 'Te2 Ir2 Cl4'
_symmetry_space_group_name_H-M 'C m m m'
_symmetry_Int_Tables_number 65
_symmetry_space_group_name_Hall '-C 2 2'
_cell_length_a 5.8486
_cell_length_b 8.9421
_cell_length_c 3.0818
_cell_angle_alpha 90.00
_cell_angle_beta 90.00
_cell_angle_gamma 90.00
loop_
_atom_site_label
_atom_site_type_symbol
_atom_site_fract_x
_atom_site_fract_y
_atom_site_fract_z
Te1 Te 0.0000 0.0000 0.0000
Ir1 Ir 0.0000 0.5000 0.0000
Cl1 Cl 0.2500 0.2500 0.5000
```



## b
First-principles (GGA-PBE) data for an optimized crystal structure of TeIrCl2, as listed in Alexandria via LeMat-Bulk.

Structure (CIF):
```
data_TeIrCl2
_chemical_formula_sum 'Te1 Ir1 Cl2'
_symmetry_space_group_name_H-M 'P m m m'
_symmetry_Int_Tables_number 47
_cell_length_a 3.0191
_cell_length_b 4.3955
_cell_length_c 6.0192
_cell_angle_alpha 90.00
_cell_angle_beta 90.00
_cell_angle_gamma 90.00
loop_
_symmetry_equiv_pos_as_xyz
'x,y,z'
'-x,-y,-z'
'-x,-y,z'
'x,y,-z'
'x,-y,-z'
'-x,y,z'
'-x,y,-z'
'x,-y,z'
loop_
_atom_site_label
_atom_site_type_symbol
_atom_site_fract_x
_atom_site_fract_y
_atom_site_fract_z
Te1 Te 0.0000 0.0000 0.0000
Ir1 Ir 0.0000 0.0000 0.5000
Cl1 Cl 0.5000 0.5000 0.2655
```



## c
First-principles (GGA-PBE) data for an optimized crystal structure of TeIrCl2, as listed in Alexandria via LeMat-Bulk.

Structure (CIF):
```
data_TeIrCl2
_chemical_formula_sum 'Te3 Ir3 Cl6'
_symmetry_space_group_name_H-M 'R -3 m'
_symmetry_Int_Tables_number 166
_symmetry_space_group_name_Hall '-R 3 2"'
_cell_length_a 3.0424
_cell_length_b 3.0424
_cell_length_c 35.8590
_cell_angle_alpha 90.00
_cell_angle_beta 90.00
_cell_angle_gamma 120.00
loop_
_atom_site_label
_atom_site_type_symbol
_atom_site_fract_x
_atom_site_fract_y
_atom_site_fract_z
Te1 Te 0.0000 0.0000 0.0000
Ir1 Ir 0.0000 0.0000 0.5000
Cl1 Cl 0.0000 0.0000 0.4383
```



## d
First-principles (GGA-PBE) data for an optimized crystal structure of TeIrCl2, as listed in Alexandria via LeMat-Bulk.

Structure (CIF):
```
data_TeIrCl2
_chemical_formula_sum 'Te2 Ir2 Cl4'
_symmetry_space_group_name_H-M 'I m m m'
_symmetry_Int_Tables_number 71
_symmetry_space_group_name_Hall '-I 2 2'
_cell_length_a 3.1750
_cell_length_b 5.3474
_cell_length_c 12.6233
_cell_angle_alpha 90.00
_cell_angle_beta 90.00
_cell_angle_gamma 90.00
loop_
_atom_site_label
_atom_site_type_symbol
_atom_site_fract_x
_atom_site_fract_y
_atom_site_fract_z
Te1 Te 0.0000 0.0000 0.0000
Ir1 Ir 0.0000 0.0000 0.5000
Cl1 Cl 0.0000 0.5000 0.1411
```



Which one is most stable, and which one is least stable? d is the most stable of them, while a is the least stable.



## a
First-principles (GGA-PBE) data for an optimized crystal structure of TeIrCl2, as listed in Alexandria via LeMat-Bulk.

Structure (CIF):
```
data_TeIrCl2
_chemical_formula_sum 'Te4 Ir4 Cl8'
_symmetry_space_group_name_H-M 'F -4 3 m'
_symmetry_Int_Tables_number 216
_symmetry_space_group_name_Hall 'F -4 2 3'
_cell_length_a 6.7097
_cell_length_b 6.7097
_cell_length_c 6.7097
_cell_angle_alpha 90.00
_cell_angle_beta 90.00
_cell_angle_gamma 90.00
loop_
_atom_site_label
_atom_site_type_symbol
_atom_site_fract_x
_atom_site_fract_y
_atom_site_fract_z
Te1 Te 0.0000 0.0000 0.0000
Ir1 Ir 0.2500 0.2500 0.7500
Cl1 Cl 0.0000 0.0000 0.5000
Cl2 Cl 0.2500 0.2500 0.2500
```



## b
First-principles (GGA-PBE) data for an optimized crystal structure of TeIrCl2, as listed in Alexandria via LeMat-Bulk.

Structure (CIF):
```
data_TeIrCl2
_chemical_formula_sum 'Te2 Ir2 Cl4'
_symmetry_space_group_name_H-M 'C 1 m 1'
_symmetry_Int_Tables_number 8
_cell_length_a 6.5846
_cell_length_b 3.8004
_cell_length_c 8.3396
_cell_angle_alpha 90.00
_cell_angle_beta 104.74
_cell_angle_gamma 90.00
loop_
_symmetry_equiv_pos_as_xyz
'x,y,z'
'x,-y,z'
'x+1/2,y+1/2,z'
'x+1/2,-y+1/2,z'
loop_
_atom_site_label
_atom_site_type_symbol
_atom_site_fract_x
_atom_site_fract_y
_atom_site_fract_z
Te1 Te 0.0000 0.0000 0.0000
Ir1 Ir 0.2202 0.5000 0.1659
Cl1 Cl 0.2524 0.0000 0.7467
Cl2 Cl 0.4427 0.0000 0.3385
```



Which one is most stable, and which one is least stable? b is the most stable of them, while a is the least stable.



## a
First-principles (GGA-PBE) data for an optimized crystal structure of TeIrCl2, as listed in Alexandria via LeMat-Bulk.

Structure (CIF):
```
data_TeIrCl2
_chemical_formula_sum 'Te4 Ir4 Cl8'
_symmetry_space_group_name_H-M 'I -4 2 d'
_symmetry_Int_Tables_number 122
_symmetry_space_group_name_Hall 'I -4 2bw'
_cell_length_a 8.4133
_cell_length_b 8.4133
_cell_length_c 5.4216
_cell_angle_alpha 90.00
_cell_angle_beta 90.00
_cell_angle_gamma 90.00
loop_
_atom_site_label
_atom_site_type_symbol
_atom_site_fract_x
_atom_site_fract_y
_atom_site_fract_z
Te1 Te 0.0000 0.0000 0.0000
Ir1 Ir 0.0000 0.0000 0.5000
Cl1 Cl 0.1198 0.2500 0.6250
```



## b
First-principles (GGA-PBE) data for an optimized crystal structure of TeIrCl2, as listed in Alexandria via LeMat-Bulk.

Structure (CIF):
```
data_TeIrCl2
_chemical_formula_sum 'Te4 Ir4 Cl8'
_symmetry_space_group_name_H-M 'F m m m'
_symmetry_Int_Tables_number 69
_symmetry_space_group_name_Hall '-F 2 2'
_cell_length_a 5.8238
_cell_length_b 6.1669
_cell_length_c 8.9722
_cell_angle_alpha 90.00
_cell_angle_beta 90.00
_cell_angle_gamma 90.00
loop_
_atom_site_label
_atom_site_type_symbol
_atom_site_fract_x
_atom_site_fract_y
_atom_site_fract_z
Te1 Te 0.0000 0.0000 0.0000
Ir1 Ir 0.0000 0.0000 0.5000
Cl1 Cl 0.0000 0.2500 0.2500
```



## c
First-principles (GGA-PBE) data for an optimized crystal structure of TeIrCl2, as listed in Alexandria via LeMat-Bulk.

Structure (CIF):
```
data_TeIrCl2
_chemical_formula_sum 'Te1 Ir1 Cl2'
_symmetry_space_group_name_H-M 'P 4/m m m'
_symmetry_Int_Tables_number 123
_symmetry_space_group_name_Hall '-P 4 2'
_cell_length_a 5.1421
_cell_length_b 5.1421
_cell_length_c 3.0920
_cell_angle_alpha 90.00
_cell_angle_beta 90.00
_cell_angle_gamma 90.00
loop_
_atom_site_label
_atom_site_type_symbol
_atom_site_fract_x
_atom_site_fract_y
_atom_site_fract_z
Te1 Te 0.0000 0.0000 0.0000
Ir1 Ir 0.5000 0.5000 0.0000
Cl1 Cl 0.0000 0.5000 0.5000
```



Which one is most stable, and which one is least stable? a is the most stable of them, while c is the least stable.



## a
First-principles (GGA-PBE) data for an optimized crystal structure of TeIrCl2, as listed in Alexandria via LeMat-Bulk.

Structure (CIF):
```
data_TeIrCl2
_chemical_formula_sum 'Te1 Ir1 Cl2'
_symmetry_space_group_name_H-M 'P 4/m m m'
_symmetry_Int_Tables_number 123
_symmetry_space_group_name_Hall '-P 4 2'
_cell_length_a 3.1013
_cell_length_b 3.1013
_cell_length_c 11.1754
_cell_angle_alpha 90.00
_cell_angle_beta 90.00
_cell_angle_gamma 90.00
loop_
_atom_site_label
_atom_site_type_symbol
_atom_site_fract_x
_atom_site_fract_y
_atom_site_fract_z
Te1 Te 0.0000 0.0000 0.0000
Ir1 Ir 0.0000 0.0000 0.5000
Cl1 Cl 0.5000 0.5000 0.3556
```



## b
First-principles (GGA-PBE) data for an optimized crystal structure of TeIrCl2, as listed in Alexandria via LeMat-Bulk.

Structure (CIF):
```
data_TeIrCl2
_chemical_formula_sum 'Te2 Ir2 Cl4'
_symmetry_space_group_name_H-M 'C m m m'
_symmetry_Int_Tables_number 65
_symmetry_space_group_name_Hall '-C 2 2'
_cell_length_a 5.4465
_cell_length_b 12.6727
_cell_length_c 3.3993
_cell_angle_alpha 90.00
_cell_angle_beta 90.00
_cell_angle_gamma 90.00
loop_
_atom_site_label
_atom_site_type_symbol
_atom_site_fract_x
_atom_site_fract_y
_atom_site_fract_z
Te1 Te 0.0000 0.0000 0.0000
Ir1 Ir 0.0000 0.5000 0.0000
Cl1 Cl 0.0000 0.3710 0.5000
```



Which one is most stable, and which one is least stable? b is the most stable of them, while a is the least stable.



## a
First-principles (GGA-PBE) data for an optimized crystal structure of TeIrCl2, as listed in Alexandria via LeMat-Bulk.

Structure (CIF):
```
data_TeIrCl2
_chemical_formula_sum 'Te1 Ir1 Cl2'
_symmetry_space_group_name_H-M 'P 4/m m m'
_symmetry_Int_Tables_number 123
_symmetry_space_group_name_Hall '-P 4 2'
_cell_length_a 4.1760
_cell_length_b 4.1760
_cell_length_c 4.6375
_cell_angle_alpha 90.00
_cell_angle_beta 90.00
_cell_angle_gamma 90.00
loop_
_atom_site_label
_atom_site_type_symbol
_atom_site_fract_x
_atom_site_fract_y
_atom_site_fract_z
Te1 Te 0.0000 0.0000 0.0000
Ir1 Ir 0.5000 0.5000 0.0000
Cl1 Cl 0.0000 0.5000 0.5000
```



## b
First-principles (GGA-PBE) data for an optimized crystal structure of TeIrCl2, as listed in Alexandria via LeMat-Bulk.

Structure (CIF):
```
data_TeIrCl2
_chemical_formula_sum 'Te3 Ir3 Cl6'
_symmetry_space_group_name_H-M 'R -3 m'
_symmetry_Int_Tables_number 166
_symmetry_space_group_name_Hall '-R 3 2"'
_cell_length_a 3.4925
_cell_length_b 3.4925
_cell_length_c 27.9349
_cell_angle_alpha 90.00
_cell_angle_beta 90.00
_cell_angle_gamma 120.00
loop_
_atom_site_label
_atom_site_type_symbol
_atom_site_fract_x
_atom_site_fract_y
_atom_site_fract_z
Te1 Te 0.0000 0.0000 0.0000
Ir1 Ir 0.0000 0.0000 0.5000
Cl1 Cl 0.0000 0.0000 0.2148
```



Which one is most stable, and which one is least stable? b is the most stable of them, while a is the least stable.



## a
First-principles (GGA-PBE) data for an optimized crystal structure of TeIrCl2, as listed in Alexandria via LeMat-Bulk.

Structure (CIF):
```
data_TeIrCl2
_chemical_formula_sum 'Te2 Ir2 Cl4'
_symmetry_space_group_name_H-M 'C m m 2'
_symmetry_Int_Tables_number 35
_cell_length_a 3.7010
_cell_length_b 7.4505
_cell_length_c 8.8088
_cell_angle_alpha 90.00
_cell_angle_beta 90.00
_cell_angle_gamma 90.00
loop_
_symmetry_equiv_pos_as_xyz
'x,y,z'
'-x,-y,z'
'-x,y,z'
'x,-y,z'
'x+1/2,y+1/2,z'
'-x+1/2,-y+1/2,z'
'-x+1/2,y+1/2,z'
'x+1/2,-y+1/2,z'
loop_
_atom_site_label
_atom_site_type_symbol
_atom_site_fract_x
_atom_site_fract_y
_atom_site_fract_z
Te1 Te 0.0000 0.0000 0.0000
Ir1 Ir 0.0000 0.5000 0.8162
Cl1 Cl 0.0000 0.0000 0.6328
Cl2 Cl 0.0000 0.5000 0.2577
```



## b
First-principles (GGA-PBE) data for an optimized crystal structure of TeIrCl2, as listed in Alexandria via LeMat-Bulk.

Structure (CIF):
```
data_TeIrCl2
_chemical_formula_sum 'Te2 Ir2 Cl4'
_symmetry_space_group_name_H-M 'I m m 2'
_symmetry_Int_Tables_number 44
_cell_length_a 3.7332
_cell_length_b 5.4254
_cell_length_c 13.1646
_cell_angle_alpha 90.00
_cell_angle_beta 90.00
_cell_angle_gamma 90.00
loop_
_symmetry_equiv_pos_as_xyz
'x,y,z'
'-x,-y,z'
'-x,y,z'
'x,-y,z'
'x+1/2,y+1/2,z+1/2'
'-x+1/2,-y+1/2,z+1/2'
'-x+1/2,y+1/2,z+1/2'
'x+1/2,-y+1/2,z+1/2'
loop_
_atom_site_label
_atom_site_type_symbol
_atom_site_fract_x
_atom_site_fract_y
_atom_site_fract_z
Te1 Te 0.0000 0.0000 0.0000
Ir1 Ir 0.0000 0.5000 0.3717
Cl1 Cl 0.0000 0.0000 0.7475
Cl2 Cl 0.0000 0.5000 0.9732
```



Which one is most stable, and which one is least stable? b is the most stable of them, while a is the least stable.



## a
First-principles (GGA-PBE) data for an optimized crystal structure of TeIrCl2, as listed in Alexandria via LeMat-Bulk.

Structure (CIF):
```
data_TeIrCl2
_chemical_formula_sum 'Te4 Ir4 Cl8'
_symmetry_space_group_name_H-M 'F m -3 m'
_symmetry_Int_Tables_number 225
_symmetry_space_group_name_Hall '-F 4 2 3'
_cell_length_a 6.8025
_cell_length_b 6.8025
_cell_length_c 6.8025
_cell_angle_alpha 90.00
_cell_angle_beta 90.00
_cell_angle_gamma 90.00
loop_
_atom_site_label
_atom_site_type_symbol
_atom_site_fract_x
_atom_site_fract_y
_atom_site_fract_z
Te1 Te 0.0000 0.0000 0.0000
Ir1 Ir 0.0000 0.0000 0.5000
Cl1 Cl 0.2500 0.2500 0.2500
```



## b
First-principles (GGA-PBE) data for an optimized crystal structure of TeIrCl2, as listed in Alexandria via LeMat-Bulk.

Structure (CIF):
```
data_TeIrCl2
_chemical_formula_sum 'Te2 Ir2 Cl4'
_symmetry_space_group_name_H-M 'C m m m'
_symmetry_Int_Tables_number 65
_symmetry_space_group_name_Hall '-C 2 2'
_cell_length_a 3.2808
_cell_length_b 5.6966
_cell_length_c 11.5204
_cell_angle_alpha 90.00
_cell_angle_beta 90.00
_cell_angle_gamma 90.00
loop_
_atom_site_label
_atom_site_type_symbol
_atom_site_fract_x
_atom_site_fract_y
_atom_site_fract_z
Te1 Te 0.0000 0.0000 0.0000
Ir1 Ir 0.0000 0.0000 0.5000
Cl1 Cl 0.0000 0.5000 0.3539
```



Which one is most stable, and which one is least stable? b is the most stable of them, while a is the least stable.



## a
First-principles (GGA-PBE) data for an optimized crystal structure of TeIr3Cl, as listed in Alexandria via LeMat-Bulk.

Structure (CIF):
```
data_TeIr3Cl
_chemical_formula_sum 'Te1 Ir3 Cl1'
_symmetry_space_group_name_H-M 'P m -3 m'
_symmetry_Int_Tables_number 221
_symmetry_space_group_name_Hall '-P 4 2 3'
_cell_length_a 4.5339
_cell_length_b 4.5339
_cell_length_c 4.5339
_cell_angle_alpha 90.00
_cell_angle_beta 90.00
_cell_angle_gamma 90.00
loop_
_atom_site_label
_atom_site_type_symbol
_atom_site_fract_x
_atom_site_fract_y
_atom_site_fract_z
Te1 Te 0.0000 0.0000 0.0000
Ir1 Ir 0.0000 0.5000 0.5000
Cl1 Cl 0.5000 0.5000 0.5000
```



## b
First-principles (GGA-PBE) data for an optimized crystal structure of TeIr3Cl, as listed in Alexandria via LeMat-Bulk.

Structure (CIF):
```
data_TeIr3Cl
_chemical_formula_sum 'Te1 Ir3 Cl1'
_symmetry_space_group_name_H-M 'P m -3 m'
_symmetry_Int_Tables_number 221
_symmetry_space_group_name_Hall '-P 4 2 3'
_cell_length_a 4.9375
_cell_length_b 4.9375
_cell_length_c 4.9375
_cell_angle_alpha 90.00
_cell_angle_beta 90.00
_cell_angle_gamma 90.00
loop_
_atom_site_label
_atom_site_type_symbol
_atom_site_fract_x
_atom_site_fract_y
_atom_site_fract_z
Te1 Te 0.0000 0.0000 0.0000
Ir1 Ir 0.0000 0.0000 0.5000
Cl1 Cl 0.5000 0.5000 0.5000
```



Which one is most stable, and which one is least stable? a is the most stable of them, while b is the least stable.